A plane-wave DFT calculation with PBE was carried out for Be2NbTl after structural relaxation.

Cell: 6.3360 6.3360 6.3360 Å, 90.00 90.00 90.00°
Space group F-43m (No. 216)
Asymmetric unit:
Be: 0.0000 0.0000 0.0000 (multiplicity 4)
Be: 0.2500 0.2500 0.2500 (multiplicity 4)
Nb: 0.2500 0.2500 0.7500 (multiplicity 4)
Tl: 0.0000 0.0000 0.5000 (multiplicity 4)

## Properties
- electronic total energy (eV per atom) = -4.1203